A) ## Hf3MoN (PBE)

Data for an optimized crystal structure of Hf3MoN.

Results
calculated volume: 24.42 A^3/atom
mass density: 8776 kg/m3

The structure in CIF format:
```
data_Hf3MoN
_chemical_formula_sum 'Hf3 Mo1 N1'
_cell_length_a 4.9613
_cell_length_b 4.9613
_cell_length_c 4.9613
_cell_angle_alpha 90.00
_cell_angle_beta 90.00
_cell_angle_gamma 90.00
_space_group_name_H-M_alt 'P m -3 m'
_space_group_IT_number 221
_space_group_name_Hall '-P 4 2 3'
loop_
_atom_site_label
_atom_site_fract_x
_atom_site_fract_y
_atom_site_fract_z
Hf1 0.0000 0.0000 0.5000
Mo1 0.0000 0.0000 0.0000
N1 0.5000 0.5000 0.5000
```

***

B) ## Hf3MoN (PBE)

Data for an optimized crystal structure of Hf3MoN.

Results
calculated volume: 17.16 A^3/atom
mass density: 12491 kg/m3

The structure in CIF format:
```
data_Hf3MoN
_chemical_formula_sum 'Hf3 Mo1 N1'
_cell_length_a 4.4106
_cell_length_b 4.4106
_cell_length_c 4.4106
_cell_angle_alpha 90.00
_cell_angle_beta 90.00
_cell_angle_gamma 90.00
_space_group_name_H-M_alt 'P m -3 m'
_space_group_IT_number 221
_space_group_name_Hall '-P 4 2 3'
loop_
_atom_site_label
_atom_site_fract_x
_atom_site_fract_y
_atom_site_fract_z
Hf1 0.0000 0.0000 0.5000
Mo1 0.5000 0.5000 0.5000
N1 0.0000 0.0000 0.0000
```

***

C) ## Hf3MoN (PBE)

Data for an optimized crystal structure of Hf3MoN.

Results
calculated volume: 16.85 A^3/atom
mass density: 12722 kg/m3

The structure in CIF format:
```
data_Hf3MoN
_chemical_formula_sum 'Hf6 Mo2 N2'
_cell_length_a 3.3037
_cell_length_b 8.5227
_cell_length_c 6.2063
_cell_angle_alpha 90.00
_cell_angle_beta 105.38
_cell_angle_gamma 90.00
_space_group_name_H-M_alt 'P 1 21/m 1'
_space_group_IT_number 11
_space_group_name_Hall '-P 2yb'
loop_
_atom_site_label
_atom_site_fract_x
_atom_site_fract_y
_atom_site_fract_z
Hf1 0.0433 0.2500 0.0857
Hf2 0.3694 0.0432 0.7372
Mo1 0.2639 0.7500 0.5305
N1 0.0000 0.0000 0.0000
```

***

Relative to the most stable one, in eV/atom, the structures come out at A) 2.466; B) 0.031; C) 0.000.

***

A) ## HfMo3N (PBE)

Data for an optimized crystal structure of HfMo3N.

Results
calculated volume: 14.91 A^3/atom
mass density: 10697 kg/m3

The structure in CIF format:
```
data_HfMo3N
_chemical_formula_sum 'Hf1 Mo3 N1'
_cell_length_a 4.2089
_cell_length_b 4.2089
_cell_length_c 4.2089
_cell_angle_alpha 90.00
_cell_angle_beta 90.00
_cell_angle_gamma 90.00
_space_group_name_H-M_alt 'P m -3 m'
_space_group_IT_number 221
_space_group_name_Hall '-P 4 2 3'
loop_
_atom_site_label
_atom_site_fract_x
_atom_site_fract_y
_atom_site_fract_z
Hf1 0.0000 0.0000 0.0000
Mo1 0.0000 0.5000 0.5000
N1 0.5000 0.5000 0.5000
```

***

B) ## HfMo3N (PBE)

Data for an optimized crystal structure of HfMo3N.

Results
calculated volume: 21.69 A^3/atom
mass density: 7354 kg/m3

The structure in CIF format:
```
data_HfMo3N
_chemical_formula_sum 'Hf1 Mo3 N1'
_cell_length_a 4.7689
_cell_length_b 4.7689
_cell_length_c 4.7689
_cell_angle_alpha 90.00
_cell_angle_beta 90.00
_cell_angle_gamma 90.00
_space_group_name_H-M_alt 'P m -3 m'
_space_group_IT_number 221
_space_group_name_Hall '-P 4 2 3'
loop_
_atom_site_label
_atom_site_fract_x
_atom_site_fract_y
_atom_site_fract_z
Hf1 0.0000 0.0000 0.0000
Mo1 0.0000 0.0000 0.5000
N1 0.5000 0.5000 0.5000
```

***

Relative to the most stable one, in eV/atom, the structures come out at A) 0.000; B) 3.384.

***

A) ## HfMoSN2 (PBE)

Data for an optimized crystal structure of HfMoSN2.

Results
calculated volume: 16.94 A^3/atom
mass density: 6556 kg/m3

The structure in CIF format:
```
data_HfMoSN2
_chemical_formula_sum 'Hf1 Mo1 S1 N2'
_cell_length_a 4.0965
_cell_length_b 4.0965
_cell_length_c 5.0488
_cell_angle_alpha 90.00
_cell_angle_beta 90.00
_cell_angle_gamma 90.00
_space_group_name_H-M_alt 'P 4/m m m'
_space_group_IT_number 123
_space_group_name_Hall '-P 4 2'
loop_
_atom_site_label
_atom_site_fract_x
_atom_site_fract_y
_atom_site_fract_z
Hf1 0.0000 0.0000 0.0000
Mo1 0.5000 0.5000 0.5000
S1 0.0000 0.0000 0.5000
N1 0.0000 0.5000 0.0000
```

***

B) ## HfMoSN2 (PBE)

Data for an optimized crystal structure of HfMoSN2.

Results
calculated volume: 14.46 A^3/atom
mass density: 7681 kg/m3

The structure in CIF format:
```
data_HfMoSN2
_chemical_formula_sum 'Hf1 Mo1 S1 N2'
_cell_length_a 3.8973
_cell_length_b 3.8973
_cell_length_c 4.7609
_cell_angle_alpha 90.00
_cell_angle_beta 90.00
_cell_angle_gamma 90.00
_space_group_name_H-M_alt 'P 4/m m m'
_space_group_IT_number 123
_space_group_name_Hall '-P 4 2'
loop_
_atom_site_label
_atom_site_fract_x
_atom_site_fract_y
_atom_site_fract_z
Hf1 0.0000 0.0000 0.0000
Mo1 0.5000 0.5000 0.5000
S1 0.5000 0.5000 0.0000
N1 0.0000 0.5000 0.5000
```

***

Relative to the most stable one, in eV/atom, the structures come out at A) 0.452; B) 0.000.

***

A) ## HfMoSeN2 (PBE)

Data for an optimized crystal structure of HfMoSeN2.

Results
calculated volume: 18.08 A^3/atom
mass density: 7004 kg/m3

The structure in CIF format:
```
data_HfMoSeN2
_chemical_formula_sum 'Hf1 Mo1 Se1 N2'
_cell_length_a 4.0956
_cell_length_b 4.0956
_cell_length_c 5.3907
_cell_angle_alpha 90.00
_cell_angle_beta 90.00
_cell_angle_gamma 90.00
_space_group_name_H-M_alt 'P 4/m m m'
_space_group_IT_number 123
_space_group_name_Hall '-P 4 2'
loop_
_atom_site_label
_atom_site_fract_x
_atom_site_fract_y
_atom_site_fract_z
Hf1 0.0000 0.0000 0.0000
Mo1 0.5000 0.5000 0.5000
Se1 0.0000 0.0000 0.5000
N1 0.0000 0.5000 0.0000
```

***

B) ## HfMoSeN2 (PBE)

Data for an optimized crystal structure of HfMoSeN2.

Results
calculated volume: 15.57 A^3/atom
mass density: 8134 kg/m3

The structure in CIF format:
```
data_HfMoSeN2
_chemical_formula_sum 'Hf1 Mo1 Se1 N2'
_cell_length_a 3.9273
_cell_length_b 3.9273
_cell_length_c 5.0481
_cell_angle_alpha 90.00
_cell_angle_beta 90.00
_cell_angle_gamma 90.00
_space_group_name_H-M_alt 'P 4/m m m'
_space_group_IT_number 123
_space_group_name_Hall '-P 4 2'
loop_
_atom_site_label
_atom_site_fract_x
_atom_site_fract_y
_atom_site_fract_z
Hf1 0.0000 0.0000 0.0000
Mo1 0.5000 0.5000 0.5000
Se1 0.5000 0.5000 0.0000
N1 0.0000 0.5000 0.5000
```

***

Relative to the most stable one, in eV/atom, the structures come out at A) 0.346; B) 0.000.